A plane-wave DFT calculation with GGA+U was carried out for crystalline MnSnHF2 at its relaxed geometry.

Structure (extended XYZ):
```
5
Lattice="3.887 0.000 0.000 0.000 6.181 0.000 0.000 0.000 3.887" Properties=species:S:1:pos:R:3 pbc="T T T"
H 1.943 3.090 1.943
Mn 0.000 0.000 0.000
Sn 0.000 3.090 0.000
F 0.000 0.000 1.943
F 1.943 0.000 0.000
```

Summary:
E: -4.710 eV/atom
Total magnetization: 3.851 Bohr magnetons per cell